(1)
The following is a SCAN calculation of Al2CuSi at its PBEsol-relaxed geometry, from Alexandria via LeMat-Bulk.

abc: 4.742 4.742 4.742
angles: 132.59 132.59 69.29
Fractional coordinates of all 4 atoms:
Al1 0.000 0.000 0.000
Al2 0.750 0.250 0.500
Cu1 0.500 0.500 0.000
Si1 0.250 0.750 0.500


(2)
The following is a SCAN calculation of ReAsSe at its PBEsol-relaxed geometry, from Alexandria via LeMat-Bulk.

abc: 3.138 3.138 6.683
angles: 90.00 90.00 120.00
Fractional coordinates of all 3 atoms:
Re1 0.000 0.000 0.000
As1 0.667 0.333 0.271
Se1 0.333 0.667 0.743


(3)
The following is a SCAN calculation of Si2TcSb at its PBEsol-relaxed geometry, from Alexandria via LeMat-Bulk.

abc: 4.420 4.420 3.329
angles: 90.00 90.00 90.00
Fractional coordinates of all 4 atoms:
Si1 0.000 0.500 0.000
Si2 0.500 0.000 0.000
Tc1 0.000 0.000 0.500
Sb1 0.500 0.500 0.500


(4)
The following is a SCAN calculation of BaCuC2 at its PBEsol-relaxed geometry, from Alexandria via LeMat-Bulk.

abc: 4.403 4.403 4.403
angles: 60.00 60.00 60.00
Fractional coordinates of all 4 atoms:
Ba1 0.000 0.000 0.000
Cu1 0.500 0.500 0.500
C1 0.250 0.250 0.250
C2 0.750 0.750 0.750

Formation enthalpy at 0 K (eV per formula unit): 8.69


(5)
The following is a SCAN calculation of Sb2PbSe at its PBEsol-relaxed geometry, from Alexandria via LeMat-Bulk.

abc: 3.738 3.738 7.950
angles: 90.00 90.00 90.00
Fractional coordinates of all 4 atoms:
Sb1 0.000 0.000 0.000
Sb2 0.500 0.500 0.185
Pb1 0.500 0.500 0.660
Se1 0.000 0.000 0.491


(6)
The following is a SCAN calculation of SiMo2P at its PBEsol-relaxed geometry, from Alexandria via LeMat-Bulk.

abc: 4.306 4.306 4.306
angles: 60.00 60.00 60.00
Fractional coordinates of all 4 atoms:
Si1 0.000 0.000 0.000
Mo1 0.500 0.500 0.500
Mo2 0.750 0.750 0.750
P1 0.250 0.250 0.250


(7)
The following is a SCAN calculation of ReSi2H at its PBEsol-relaxed geometry, from Alexandria via LeMat-Bulk.

abc: 4.070 4.070 4.070
angles: 60.00 60.00 60.00
Fractional coordinates of all 4 atoms:
Re1 0.000 0.000 0.000
Si1 0.250 0.250 0.250
Si2 0.750 0.750 0.750
H1 0.500 0.500 0.500


(8)
The following is a SCAN calculation of Ca2AlRe at its PBEsol-relaxed geometry, from Alexandria via LeMat-Bulk.

abc: 10.299 10.299 10.299
angles: 17.27 17.27 17.27
Fractional coordinates of all 4 atoms:
Ca1 0.245 0.245 0.245
Ca2 0.755 0.755 0.755
Al1 0.000 0.000 0.000
Re1 0.500 0.500 0.500

Formation enthalpy at 0 K (eV per formula unit): 2.72


(9)
The following is a SCAN calculation of CoIr2Pt at its PBEsol-relaxed geometry, from Alexandria via LeMat-Bulk.

abc: 2.662 4.558 4.581
angles: 90.00 90.08 90.00
Fractional coordinates of all 4 atoms:
Co1 0.000 0.000 0.000
Ir1 0.247 0.500 0.245
Ir2 0.753 0.500 0.755
Pt1 0.500 0.000 0.500

Formation enthalpy at 0 K (eV per formula unit): 0.49


(10)
The following is a SCAN calculation of Tl2CrIn at its PBEsol-relaxed geometry, from Alexandria via LeMat-Bulk.

abc: 3.223 3.223 8.874
angles: 90.00 90.00 90.00
Fractional coordinates of all 4 atoms:
Tl1 0.000 0.000 0.000
Tl2 0.500 0.500 0.302
Cr1 0.000 0.000 0.516
In1 0.500 0.500 0.710

Formation enthalpy at 0 K (eV per formula unit): 0.70


(11)
The following is a SCAN calculation of Re2SnS at its PBEsol-relaxed geometry, from Alexandria via LeMat-Bulk.

abc: 4.418 4.418 4.418
angles: 60.00 60.00 60.00
Fractional coordinates of all 4 atoms:
Re1 0.250 0.250 0.250
Re2 0.750 0.750 0.750
Sn1 0.000 0.000 0.000
S1 0.500 0.500 0.500


(12)
The following is a SCAN calculation of InSbTe2I at its PBEsol-relaxed geometry, from Alexandria via LeMat-Bulk.

abc: 5.703 5.703 5.950
angles: 90.00 90.00 90.00
Fractional coordinates of all 5 atoms:
In1 0.000 0.000 0.000
Sb1 0.500 0.500 0.500
Te1 0.000 0.500 0.500
Te2 0.500 0.000 0.500
I1 0.500 0.500 0.000


Asked for calculated total energy across the records above, the calculation gives -40.32, -111.17, -89.53, -66.26, -170.33, -89.58, -91.58, -95.46, -229.20, -195.79, -184.03, -181.23 eV per formula unit in order.